# CsYMnO3

A relaxed CsYMnO3 crystal (PBE with a Hubbard U, the Alexandria database).

Output
Its size of the total moment is 0.833 μB/atom. The calculation puts the total energy at -0.5277 Ry/atom.

```
data_CsYMnO3
_chemical_formula_sum 'Cs2 Y2 Mn2 O6'
_symmetry_space_group_name_H-M 'P 1 21/m 1'
_symmetry_Int_Tables_number 11
_cell_length_a 7.345
_cell_length_b 3.593
_cell_length_c 9.597
_cell_angle_alpha 90.00
_cell_angle_beta 98.26
_cell_angle_gamma 90.00
loop_
_symmetry_equiv_pos_as_xyz
'x,y,z'
'-x,-y,-z'
'-x,y+1/2,-z'
'x,-y+1/2,z'
loop_
_atom_site_label
_atom_site_type_symbol
_atom_site_fract_x
_atom_site_fract_y
_atom_site_fract_z
Cs1 Cs 0.076 0.250 0.262
Y1 Y 0.432 0.750 0.636
Mn1 Mn 0.395 0.250 0.900
O1 O 0.257 0.250 0.704
O2 O 0.380 0.750 0.403
O3 O 0.448 0.250 0.116
```